Record 1
{"formula": "BaH2WSe", "functional": "PBE-GGA", "state": "relaxed", "lattice_angstrom": [[4.375, 0.000, 0.000], [0.000, 4.375, 0.000], [0.000, 0.000, 6.586]], "species": ["Ba", "H", "H", "W", "Se"], "fractional_positions": [[0.000, 0.000, 0.000], [0.000, 0.500, 0.500], [0.500, 0.000, 0.500], [0.500, 0.500, 0.000], [0.000, 0.000, 0.500]], "sg": "P4/mmm (123)", "energy_ev_per_cell": -17.57, "mass_density_g_cm3": 5.297, "volume_a3_per_atom": 25.2}

=====

Record 2
{"formula": "BaYHSe2", "functional": "PBE-GGA", "state": "relaxed", "lattice_angstrom": [[5.580, 0.000, 0.000], [0.000, 5.580, 0.000], [0.000, 0.000, 4.322]], "species": ["Ba", "Y", "H", "Se", "Se"], "fractional_positions": [[0.000, 0.000, 0.000], [0.500, 0.500, 0.500], [0.500, 0.500, 0.000], [0.000, 0.500, 0.500], [0.500, 0.000, 0.500]], "sg": "P4/mmm (123)", "energy_ev_per_cell": -26.47, "mass_density_g_cm3": 4.752, "volume_a3_per_atom": 26.9}

=====

Record 3
{"formula": "BaZnH2Se", "functional": "PBE-GGA", "state": "relaxed", "lattice_angstrom": [[4.451, 0.000, 0.000], [0.000, 4.451, 0.000], [0.000, 0.000, 4.954]], "species": ["Ba", "Zn", "H", "H", "Se"], "fractional_positions": [[0.000, 0.000, 0.000], [0.500, 0.500, 0.500], [0.000, 0.500, 0.500], [0.500, 0.000, 0.500], [0.500, 0.500, 0.000]], "sg": "P4/mmm (123)", "energy_ev_per_cell": -15.73, "mass_density_g_cm3": 4.801, "volume_a3_per_atom": 19.6}

=====

Record 4
{"formula": "BaZrHSe2", "functional": "PBE-GGA", "state": "relaxed", "lattice_angstrom": [[5.364, 0.000, 0.000], [0.000, 5.364, 0.000], [0.000, 0.000, 4.132]], "species": ["Ba", "Zr", "H", "Se", "Se"], "fractional_positions": [[0.000, 0.000, 0.000], [0.500, 0.500, 0.500], [0.500, 0.500, 0.000], [0.000, 0.500, 0.500], [0.500, 0.000, 0.500]], "sg": "P4/mmm (123)", "energy_ev_per_cell": -27.13, "mass_density_g_cm3": 5.412, "volume_a3_per_atom": 23.8}

=====

Record 5
{"formula": "BaSiH2", "functional": "PBE-GGA", "state": "relaxed", "lattice_angstrom": [[-2.386, 2.386, 5.825], [2.386, -2.386, 5.825], [2.386, 2.386, -5.825]], "species": ["Ba", "Ba", "Si", "Si", "H", "H", "H", "H"], "fractional_positions": [[0.000, 0.000, 0.000], [0.750, 0.250, 0.500], [0.250, 0.750, 0.500], [0.500, 0.500, 0.000], [0.348, 0.625, 0.223], [0.375, 0.598, 0.723], [0.402, 0.125, 0.777], [0.875, 0.652, 0.277]], "sg": "I-42d (122)", "energy_ev_per_cell": -27.52, "mass_density_g_cm3": 4.191, "volume_a3_per_atom": 16.6}

=====

Record 6
{"formula": "Ba2SiH", "functional": "PBE-GGA", "state": "relaxed", "lattice_angstrom": [[2.549, 1.472, 8.257], [-2.549, 1.472, 8.257], [0.000, -2.943, 8.257]], "species": ["Ba", "Ba", "Si", "H"], "fractional_positions": [[0.101, 0.101, 0.101], [0.899, 0.899, 0.899], [0.500, 0.500, 0.500], [0.000, 0.000, 0.000]], "sg": "R-3m (166)", "energy_ev_per_cell": -12.91, "mass_density_g_cm3": 2.714, "volume_a3_per_atom": 46.5}

=====

Record 7
{"formula": "BaSiH2", "functional": "PBE-GGA", "state": "relaxed", "lattice_angstrom": [[0.000, 3.204, 3.204], [3.204, 0.000, 3.204], [3.204, 3.204, 0.000]], "species": ["Ba", "Si", "H", "H"], "fractional_positions": [[0.000, 0.000, 0.000], [0.500, 0.500, 0.500], [0.250, 0.250, 0.250], [0.750, 0.750, 0.750]], "sg": "Fm-3m (225)", "energy_ev_per_cell": -12.95, "mass_density_g_cm3": 4.225, "volume_a3_per_atom": 16.5}

=====

Record 8
{"formula": "BaSiH6", "functional": "PBE-GGA", "state": "relaxed", "lattice_angstrom": [[2.952, -3.415, 0.000], [2.952, 3.415, 0.000], [-1.030, 0.000, 4.383]], "species": ["Ba", "Si", "H", "H", "H", "H", "H", "H"], "fractional_positions": [[0.000, 0.000, 0.000], [0.500, 0.500, 0.500], [0.245, 0.570, 0.245], [0.247, 0.247, 0.572], [0.430, 0.755, 0.755], [0.570, 0.245, 0.245], [0.753, 0.753, 0.428], [0.755, 0.430, 0.755]], "sg": "C2/m (12)", "energy_ev_per_cell": -29.36, "mass_density_g_cm3": 3.221, "volume_a3_per_atom": 11.0}